A plane-wave DFT calculation with PBE was carried out for a relaxed structure of CaZr2Si.

Cell: 6.2497 8.9081 3.1511 Å, 90.00 90.00 90.00°
With the nearest neighbours (Å) after each atom.
Space group Cmmm (No. 65)
Symmetry-distinct sites (fractional):
Ca 0.0000 0.0000 0.0000  2 Si 3.12, 8 Zr 3.14, 2 Ca 3.15
Zr 0.2500 0.2500 0.5000  4 Zr 3.12-3.15, 4 Ca 3.14, 4 Si 3.14
Si 0.0000 0.5000 0.0000  2 Ca 3.12, 8 Zr 3.14, 2 Si 3.15

Results
Volume: 175.4 Å³/cell
Uncorrected formation energy: 0.165 eV per atom
Energy: -5.9652 eV per atom